Compound: Cs2HgTe
Source: Alexandria
Functional: PBE
Structure: relaxed

POSCAR file:
```
Cs2HgTe
1.0
0.0000 4.5435 4.5435
4.5435 0.0000 4.5435
4.5435 4.5435 0.0000
Cs Hg Te
2 1 1
Cartesian
2.2718 2.2718 2.2718
6.8153 6.8153 6.8153
0.0000 0.0000 0.0000
4.5435 4.5435 4.5435
```

Magnetization = 0.000 μB per atom
E = -8.3 eV per cell
Energy above the most stable polymorph in this dataset = 0 meV per atom
Calculated density = 5.26 Mg/m³
D(E_F) = 0.000 states/eV/atom

Compound: Fe2CoPd8
Source: Alexandria
Functional: PBE
Structure: relaxed

POSCAR file:
```
Fe2CoPd8
1.0
3.4962 -5.8493 0.0000
3.4962 5.8493 0.0000
-1.7944 0.0000 4.1421
Fe Co Pd
2 1 8
Cartesian
3.4962 3.6044 0.0000
3.4962 -3.6044 0.0000
2.5990 0.0000 2.0711
0.2547 0.0000 1.2896
0.4469 1.3584 3.6543
2.5990 2.5198 2.0711
0.4469 -1.3584 3.6543
4.7511 1.3584 0.4878
2.5990 -2.5198 2.0711
4.7511 -1.3584 0.4878
4.9433 0.0000 2.8525
```

Magnetization = 1.016 μB per atom
E = -64.3 eV per cell
Formation energy from the elements = 1.3 eV per formula unit
Calculated density = 10.02 Mg/m³
D(E_F) = 0.810 states/eV/atom

Compound: Cs3Cd2AgBr8
Source: Alexandria
Functional: PBE
Structure: relaxed

POSCAR file:
```
Cs3Cd2AgBr8
1.0
7.9857 0.0000 0.0000
-3.9928 6.9158 0.0000
0.0000 0.0000 10.2960
Cs Cd Ag Br
3 2 1 8
Cartesian
0.0000 0.0000 0.0000
0.0000 4.6105 6.3690
3.9928 2.3053 3.9270
0.0000 4.6105 2.1481
3.9928 2.3053 8.1479
0.0000 0.0000 5.1480
0.0000 2.2165 3.3051
-2.0733 5.8075 3.3051
1.9196 1.1083 6.9908
0.0000 4.6105 9.8863
3.9928 2.3053 0.4097
2.0733 5.8075 3.3051
6.0661 1.1083 6.9908
3.9928 4.6993 6.9908
```

Magnetization = 0.000 μB per atom
E = -37.3 eV per cell
Calculated density = 4.00 Mg/m³
D(E_F) = 0.000 states/eV/atom

Compound: La5CePr2Sm
Source: Alexandria
Functional: PBE
Structure: relaxed

POSCAR file:
```
La5CePr2Sm
1.0
8.3063 0.0000 0.0000
0.0000 8.3063 0.0000
0.0000 0.0000 9.4702
La Ce Pr Sm
10 2 4 2
Cartesian
0.0000 0.0000 0.0000
1.6318 2.5214 2.6401
1.6318 2.5214 6.8300
2.5214 6.6745 2.6401
2.5214 6.6745 6.8300
4.1531 4.1531 0.0000
5.7849 1.6318 2.6401
5.7849 1.6318 6.8300
6.6745 5.7849 2.6401
6.6745 5.7849 6.8300
0.0000 4.1531 4.7351
4.1531 0.0000 4.7351
1.0841 5.2373 0.0000
3.0690 1.0841 0.0000
5.2373 7.2221 0.0000
7.2221 3.0690 0.0000
0.0000 0.0000 4.7351
4.1531 4.1531 4.7351
```

Magnetization = 0.142 μB per atom
E = -85.1 eV per cell
Formation energy from the elements = 2.3 eV per formula unit
Calculated density = 6.44 Mg/m³
D(E_F) = 1.871 states/eV/atom

Compound: SnHgN2
Source: Alexandria
Functional: PBE
Structure: relaxed

POSCAR file:
```
SnHgN2
1.0
1.6940 0.9781 6.2964
-1.6940 0.9781 6.2964
0.0000 -1.9561 6.2964
Sn Hg N
1 1 2
Cartesian
0.0000 0.0000 0.0000
0.0000 0.0000 9.4447
0.0000 0.0000 7.3729
0.0000 0.0000 11.5164
```

Magnetization = 0.000 μB per atom
E = -19.2 eV per cell
Energy above the most stable polymorph in this dataset = 247 meV per atom
Calculated density = 9.21 Mg/m³
D(E_F) = 0.000 states/eV/atom

Compound: Mg
Source: Alexandria
Functional: PBE
Structure: relaxed

POSCAR file:
```
Mg
1.0
5.2350 0.0000 0.0000
-2.6175 4.5337 0.0000
0.0000 0.0000 2.9094
Mg
2
Cartesian
0.0000 3.0224 0.0000
2.6175 1.5112 0.0000
```

Magnetization = 0.000 μB per atom
E = -2.1 eV per cell
Formation energy from the elements = 0.6 eV per formula unit
Energy above the most stable polymorph in this dataset = 564 meV per atom
Calculated density = 1.17 Mg/m³
D(E_F) = 0.684 states/eV/atom

Compound: Tb8Te2Ru3
Source: Alexandria
Functional: PBE
Structure: relaxed

POSCAR file:
```
Tb8Te2Ru3
1.0
9.0480 0.0000 0.0000
0.0000 4.8606 0.0000
-3.7489 0.0000 8.2366
Tb Te Ru
8 2 3
Cartesian
-0.5272 0.0000 3.2502
-1.8943 2.4303 7.1098
0.8487 2.4303 5.3417
3.1208 0.0000 0.9041
2.1782 0.0000 7.3325
4.4504 2.4303 2.8949
7.1934 2.4303 1.1268
5.8262 0.0000 4.9864
1.2247 2.4303 2.1281
4.0744 2.4303 6.1085
-0.5411 0.0000 6.1943
4.5240 2.4303 0.0000
5.8401 0.0000 2.0423
```

Magnetization = 0.000 μB per atom
E = -78.3 eV per cell
Calculated density = 8.39 Mg/m³
D(E_F) = 0.701 states/eV/atom

Compound: La2Al3P
Source: Alexandria
Functional: PBE
Structure: relaxed

POSCAR file:
```
La2Al3P
1.0
5.4041 0.0000 0.0000
-2.7020 4.6801 0.0000
0.0000 0.0000 5.8878
La Al P
2 3 1
Cartesian
0.0000 3.1200 0.0000
2.7020 1.5600 0.0000
-1.3510 2.3400 2.9439
2.7020 0.0000 2.9439
1.3510 2.3400 2.9439
0.0000 0.0000 0.0000
```

Magnetization = 0.000 μB per atom
E = -26.9 eV per cell
Formation energy from the elements = -0.4 eV per formula unit
Calculated density = 4.35 Mg/m³
D(E_F) = 0.853 states/eV/atom

Compound: V6Cr5W
Source: Alexandria
Functional: PBE
Structure: relaxed

POSCAR file:
```
V6Cr5W
1.0
2.0836 -6.2446 0.0000
2.0836 6.2446 0.0000
0.0000 0.0000 5.9077
V Cr W
6 5 1
Cartesian
0.0000 0.0000 1.4350
0.0000 0.0000 4.4727
2.0836 2.1222 1.4556
2.0836 2.1222 4.4521
2.0836 -2.1222 1.4556
2.0836 -2.1222 4.4521
2.0836 4.1559 0.0000
2.0836 4.1392 2.9538
2.0836 0.0000 0.0000
2.0836 -4.1392 2.9538
2.0836 -4.1559 0.0000
2.0836 0.0000 2.9538
```

Magnetization = 0.000 μB per atom
E = -116.6 eV per cell
Formation energy from the elements = -0.8 eV per formula unit
Calculated density = 8.10 Mg/m³
D(E_F) = 1.002 states/eV/atom

Compound: POs
Source: Alexandria
Functional: PBE
Structure: relaxed

POSCAR file:
```
POs
1.0
-1.5693 1.9026 2.8905
1.5693 -1.9026 2.8905
1.5693 1.9026 -2.8905
P Os
1 1
Cartesian
0.0000 0.0000 0.0000
1.5693 0.0000 1.6557
```

Magnetization = 0.000 μB per atom
E = -16.7 eV per cell
Formation energy from the elements = 0.0 eV per formula unit
Calculated density = 10.64 Mg/m³
D(E_F) = 0.310 states/eV/atom

Compound: CaFeBr2
Source: Alexandria
Functional: PBE
Structure: relaxed

POSCAR file:
```
CaFeBr2
1.0
3.5825 -4.3621 0.0000
3.5825 4.3621 0.0000
-2.4928 0.0000 3.4781
Ca Fe Br
1 1 2
Cartesian
0.0000 0.0000 0.0000
3.5825 0.0000 0.0000
1.7913 2.1811 0.0000
1.7913 -2.1811 0.0000
```

Magnetization = 0.700 μB per atom
E = -15.2 eV per cell
Energy above the most stable polymorph in this dataset = 243 meV per atom
Calculated density = 3.91 Mg/m³
D(E_F) = 0.949 states/eV/atom

Compound: Th2Si3Os2
Source: Alexandria
Functional: PBE
Structure: relaxed

POSCAR file:
```
Th2Si3Os2
1.0
2.1278 -9.0335 0.0000
2.1278 9.0335 0.0000
0.0000 0.0000 6.9325
Th Si Os
4 6 4
Cartesian
2.1278 8.0766 5.1994
2.1278 6.2210 1.7331
2.1278 -6.2210 5.1994
2.1278 -8.0766 1.7331
2.1278 5.0258 5.1994
2.1278 1.1258 3.9156
2.1278 1.1258 6.4831
2.1278 -1.1258 0.4494
2.1278 -1.1258 3.0169
2.1278 -5.0258 1.7331
2.1278 3.4660 0.3614
2.1278 3.4660 3.1048
2.1278 -3.4660 3.8277
2.1278 -3.4660 6.5711
```

Magnetization = 0.000 μB per atom
E = -115.3 eV per cell
Energy above the most stable polymorph in this dataset = 0 meV per atom
Calculated density = 11.57 Mg/m³
D(E_F) = 0.639 states/eV/atom